The following is a DFT calculation (PBE) of Sr3SnN after structural relaxation.

Summary:
The value obtained for the volume is 32.1 Å³/atom. The calculation puts the energy at -3.982 eV/atom. As for the space group: P2_1/m.

abc: 6.6327 7.1431 6.8293
angles: 90.00 97.74 90.00
Last column: nearest neighbours and their distance in Å.
Fractional coordinates of all 10 atoms:
Sr  0.1823  0.2500  0.1256  1 N 2.38
Sr  0.2352  0.5092  0.6222  2 N 2.47-2.57
Sr  0.2352  0.9908  0.6222  2 N 2.47-2.57
Sr  0.7648  0.0092  0.3778  2 N 2.47-2.57
Sr  0.7648  0.4908  0.3778  2 N 2.47-2.57
Sr  0.8177  0.7500  0.8744  1 N 2.38
Sn  0.3244  0.7500  0.1335  10 Sr 3.58-3.92
Sn  0.6756  0.2500  0.8665  10 Sr 3.58-3.92
N  0.0547  0.2500  0.4343  5 Sr 2.38-2.57
N  0.9453  0.7500  0.5657  5 Sr 2.38-2.57



The following is a DFT calculation (PBE) of LaZr2Ga after structural relaxation.

Summary:
The value obtained for the volume is 25.1 Å³/atom. The calculation puts the formation enthalpy at 0 K at 2.49 kcal/mol of atoms. As for the space group: I-42d.

abc: 10.8129 10.8129 10.8129
angles: 156.52 156.52 33.45
Last column: nearest neighbours and their distance in Å.
Fractional coordinates of all 8 atoms:
La  0.0000  0.0000  0.0000  4 Zr 3.05, 4 Ga 3.11
La  0.7500  0.2500  0.5000  4 Zr 3.05, 4 Ga 3.11
Zr  0.1414  0.6250  0.0164  2 Ga 2.99, 4 Zr 3.01-3.22, 2 La 3.05
Zr  0.3750  0.3913  0.5164  2 Ga 2.99, 4 Zr 3.01-3.22, 2 La 3.05
Zr  0.6086  0.1250  0.9836  2 Ga 2.99, 4 Zr 3.01-3.22, 2 La 3.05
Zr  0.8750  0.8586  0.4836  2 Ga 2.99, 4 Zr 3.01-3.22, 2 La 3.05
Ga  0.2500  0.7500  0.5000  4 Zr 2.99, 4 La 3.11
Ga  0.5000  0.5000  0.0000  4 Zr 2.99, 4 La 3.11



The following is a DFT calculation (PBE) of Nb4Tl after structural relaxation.

Summary:
The value obtained for the volume is 25.5 Å³/atom. The calculation puts the formation enthalpy at 0 K at 50.71 kcal/mol of atoms. As for the space group: Pm-3m.

abc: 5.0362 5.0362 5.0362
angles: 90.00 90.00 90.00
Last column: nearest neighbours and their distance in Å.
Fractional coordinates of all 5 atoms:
Nb  0.0000  0.0000  0.0000  12 Nb 3.56
Nb  0.0000  0.5000  0.5000  2 Tl 2.52
Nb  0.5000  0.0000  0.5000  2 Tl 2.52
Nb  0.5000  0.5000  0.0000  2 Tl 2.52
Tl  0.5000  0.5000  0.5000  6 Nb 2.52



The following is a DFT calculation (PBE) of LiZrBr4 after structural relaxation.

Summary:
The value obtained for the volume is 29.7 Å³/atom. For the energy above the lowest structure with this stoichiometry, the calculation gives 10.645 eV per formula unit. As for the space group: F-43m.

abc: 6.3153 6.3153 6.3153
angles: 60.00 60.00 60.00
Last column: nearest neighbours and their distance in Å.
Fractional coordinates of all 6 atoms:
Li  0.0000  0.0000  0.0000  12 Br 3.70, 4 Zr 3.87
Zr  0.7500  0.7500  0.7500  12 Br 3.70, 4 Li 3.87
Br  0.3755  0.3755  0.3755  6 Br 3.14-3.17
Br  0.3755  0.3755  0.8734  6 Br 3.14-3.17
Br  0.3755  0.8734  0.3755  6 Br 3.14-3.17
Br  0.8734  0.3755  0.3755  6 Br 3.14-3.17